# BaNa2

BaNa2 after structural relaxation (GGA-PBEsol, the Alexandria database).

extended XYZ file:
```
12
Lattice="7.195 0.000 0.000 -3.597 6.231 0.000 0.000 0.000 11.683" Properties=species:S:1:pos:R:3 pbc="T T T"
Ba 0.000 4.154 0.718
Ba 3.598 2.077 6.559
Ba 3.598 2.077 10.965
Ba 0.000 4.154 5.124
Na 1.771 5.176 8.762
Na 5.368 1.055 2.921
Na 3.597 4.122 2.921
Na 0.000 2.109 8.762
Na 0.000 0.000 5.842
Na 0.000 0.000 0.000
Na 1.827 1.055 2.921
Na -1.771 5.176 8.762
```

Calculated values
**Energy of formation from the pure elements**: -0.01 eV/atom
**VASP energy**: -1.664 eV/atom